Computed, not measured: ScGe3H after structural relaxation at the PBE level of DFT.

## Properties
Total energy = -23.8 eV per cell
Polymorph energy (0 for the lowest one) = 0.000 eV/f.u.

Lattice parameters (Å, degrees): 4.267 4.267 4.267 90.00 90.00 90.00
Space group Pm-3m (No. 221)
One atom of each set of equivalent atoms:
Sc 0.000 0.000 0.000 [1 per cell]
Ge 0.000 0.500 0.500 [3 per cell]
H 0.500 0.500 0.500 [1 per cell]